VASP calculation (PBE-GGA) on an optimized crystal structure of LuThPa2.

Cell and atoms, written as POSCAR:
```
LuThPa2
1.0
5.397 0.000 0.000
2.699 4.674 0.000
2.699 1.558 4.406
Th Lu Pa
1 1 2
direct
0.000 0.000 0.000 Th
0.500 0.500 0.500 Lu
0.750 0.750 0.749 Pa
0.250 0.250 0.251 Pa
```

* energy of formation from the pure elements: 0.4316 eV/atom
* SG: No. 225
* ΔE to the lowest computed polymorph: 259 meV/atom